Density functional theory data (PBE) for a geometry-optimized ThMgSbAu structure.

```
ThMgSbAu
1.0
-3.7117 3.3138 1.5133
-1.8406 -0.1999 4.8601
1.1237 3.8032 3.3646
Sb Mg Au Th
1 1 1 1
Direct
0.5000 0.5000 0.5000 Sb
0.2500 0.2500 0.2500 Mg
0.0000 0.0000 0.0000 Au
0.7500 0.7500 0.7500 Th
```

Crystal system = cubic
Energy relative to the elements, uncorrected = -500 meV per atom
DOS(E_F) = 3.2 states/eV/f.u.
Space group = F-43m